A plane-wave DFT calculation with PBE was carried out for an optimized crystal structure of Na6SrPb2.

As for the formation energy: -0.1345 eV per atom. As for the density of states at the Fermi level: 3.44 states/eV/cell.

It has space group P4/mmm (No. 123), with a = 4.9117 Å, b = 4.9117 Å, c = 13.0831 Å, α = 90.00°, β = 90.00° and γ = 90.00°. The distinct sites, in fractional coordinates, are Na at (0.0000, 0.0000, 0.0000), Na at (0.0000, 0.5000, 0.2261), Na at (0.5000, 0.5000, 0.0000), Sr at (0.0000, 0.0000, 0.5000) and Pb at (0.5000, 0.5000, 0.3874).

***

A plane-wave DFT calculation with PBE was carried out for an optimized crystal structure of Ti2VPt5Rh.

As for the formation energy: -0.1730 eV per atom. As for the density of states at the Fermi level: 36.13 states/eV/cell.

It has space group I4/mcm (No. 140), with a = 7.4042 Å, b = 7.4042 Å, c = 10.8036 Å, α = 90.00°, β = 90.00° and γ = 90.00°. The distinct sites, in fractional coordinates, are Ti at (0.1101, 0.3899, 0.0000), V at (0.0000, 0.0000, 0.2500), Pt at (0.0000, 0.0000, 0.0000), Pt at (0.2108, 0.2892, 0.3681) and Rh at (0.0000, 0.5000, 0.2500).

***

A plane-wave DFT calculation with PBE was carried out for an optimized crystal structure of CoSn2HgPb.

As for the formation energy: 0.1472 eV per atom. As for the density of states at the Fermi level: 2.71 states/eV/cell.

It has space group P4/mmm (No. 123), with a = 4.9056 Å, b = 4.9056 Å, c = 5.2109 Å, α = 90.00°, β = 90.00° and γ = 90.00°. The distinct sites, in fractional coordinates, are Co at (0.0000, 0.0000, 0.0000), Sn at (0.0000, 0.5000, 0.0000), Hg at (0.0000, 0.0000, 0.5000) and Pb at (0.5000, 0.5000, 0.5000).

***

A plane-wave DFT calculation with PBE was carried out for an optimized crystal structure of Tb4Pm3Y4.

As for the formation energy: 0.0527 eV per atom. As for the density of states at the Fermi level: 17.05 states/eV/cell.

It has space group P-1 (No. 2), with a = 3.5113 Å, b = 5.6928 Å, c = 18.3252 Å, α = 98.91°, β = 95.49° and γ = 90.00°. The distinct sites, in fractional coordinates, are Tb at (0.0452, 0.0464, 0.0912), Tb at (0.1806, 0.6814, 0.3621), Pm at (0.3634, 0.8627, 0.7262), Pm at (0.5000, 0.5000, 0.0000), Y at (0.0909, 0.5916, 0.1814) and Y at (0.2335, 0.2334, 0.4666).

***

A plane-wave DFT calculation with PBE was carried out for an optimized crystal structure of Tl2TcSe.

The calculation puts the formation energy without anion corrections at 0.6509 eV per atom. As for the density of states at the Fermi level: 3.84 states/eV/cell.

It has space group P4/mmm (No. 123), with a = 5.0147 Å, b = 5.0147 Å, c = 3.5826 Å, α = 90.00°, β = 90.00° and γ = 90.00°. The distinct sites, in fractional coordinates, are Tl at (0.0000, 0.5000, 0.0000), Tc at (0.0000, 0.0000, 0.5000) and Se at (0.5000, 0.5000, 0.5000).

***

A plane-wave DFT calculation with PBE was carried out for an optimized crystal structure of Ac2Tl5Hg12.

As for the formation energy: -0.1585 eV per atom. As for the density of states at the Fermi level: 14.54 states/eV/cell.

It has space group C2/m (No. 12), with a = 18.0241 Å, b = 11.1552 Å, c = 5.5529 Å, α = 90.00°, β = 102.06° and γ = 90.00°. The distinct sites, in fractional coordinates, are Ac at (0.0000, 0.2378, 0.0000), Tl at (0.0000, 0.0000, 0.5000), Tl at (0.1515, 0.5000, 0.8722), Tl at (0.2329, 0.0000, 0.5538), Hg at (0.0549, 0.5000, 0.3146), Hg at (0.1129, 0.2428, 0.5852), Hg at (0.1200, 0.0000, 0.0191) and Hg at (0.1974, 0.2466, 0.1750).

***

What did the second record say?
A plane-wave DFT calculation with PBE was carried out for an optimized crystal structure of Ti2VPt5Rh.

As for the formation energy: -0.1730 eV per atom. As for the density of states at the Fermi level: 36.13 states/eV/cell.

It has space group I4/mcm (No. 140), with a = 7.4042 Å, b = 7.4042 Å, c = 10.8036 Å, α = 90.00°, β = 90.00° and γ = 90.00°. The distinct sites, in fractional coordinates, are Ti at (0.1101, 0.3899, 0.0000), V at (0.0000, 0.0000, 0.2500), Pt at (0.0000, 0.0000, 0.0000), Pt at (0.2108, 0.2892, 0.3681) and Rh at (0.0000, 0.5000, 0.2500).